Entry 1:
Computed, not measured: a relaxed Ag2MoOs crystal at the PBE-GGA level of DFT.

```
Ag2MoOs
1.0
4.980 -0.008 -0.010
1.647 4.700 0.010
-3.000 -2.789 2.833
Ag Mo Os
2 1 1
Direct
0.006 0.006 0.000
0.747 0.247 0.500
0.475 0.475 0.000
0.272 0.772 0.500
```

Computed properties:
M_tot, μB/f.u.: 0.00
Space-group type: Imm2 (44)
Total DFT energy (no corrections), eV per atom: -6.3373

---

Entry 2:
Computed, not measured: a relaxed Li2YTlPd crystal at the PBE-GGA level of DFT.

```
Li2YTlPd
1.0
5.724 0.000 0.000
0.000 4.980 0.000
0.000 0.000 5.724
Y Tl Pd Li
1 1 1 2
Direct
0.000 0.000 0.000
0.500 0.500 0.500
0.000 0.500 0.000
0.000 0.000 0.500
0.500 0.000 0.000
```

Computed properties:
M_tot, μB/f.u.: 0.00
Space-group type: P4/mmm (123)
Total DFT energy (no corrections), eV per atom: -2.9265

---

Entry 3:
Computed, not measured: a relaxed Y2ScOs crystal at the PBE-GGA level of DFT.

```
Y2ScOs
1.0
4.352 0.000 0.000
0.000 3.475 -0.012
0.000 2.145 6.271
Os Sc Y
1 1 2
Direct
0.500 0.250 0.250
0.500 0.750 0.750
0.000 0.071 0.027
0.000 0.429 0.473
```

Computed properties:
M_tot, μB/f.u.: 0.00
Space-group type: P2/m (10)
Total DFT energy (no corrections), eV per atom: -7.5236